Entry 1:
RbHg2SbC, relaxed, DFT PBE; final energy = -1.123 eV per atom; ΔE_f (raw) = 1.86 eV/atom; density of states at the Fermi level = 5.03 states/eV/cell; crystal system = tetragonal
1.0
6.175 0.000 0.000
0.000 6.175 0.000
0.000 0.000 4.718
Sb C Hg Rb
1 1 2 1
direct
0.500 0.500 0.500
0.000 0.000 0.500
0.000 0.500 0.000
0.500 0.000 0.000
0.000 0.000 0.000

***

Entry 2:
Tb5CeNdY2, relaxed, DFT PBE; final energy = -5.023 eV per atom; density of states at the Fermi level = 34.88 states/eV/cell; energy of formation = 0.175 eV/atom; crystal system = orthorhombic
1.0
5.660 0.000 0.000
-2.830 10.017 0.000
0.000 0.000 10.462
Tb Ce Nd Y
10 2 2 4
direct
0.392 0.784 0.027
0.721 0.442 0.811
0.477 0.953 0.738
0.296 0.593 0.704
0.982 0.964 0.526
0.608 0.216 0.527
0.279 0.558 0.311
0.523 0.047 0.238
0.704 0.407 0.204
0.018 0.036 0.026
0.797 0.593 0.513
0.203 0.407 0.013
0.586 0.172 0.948
0.414 0.828 0.448
0.885 0.770 0.823
0.113 0.226 0.733
0.115 0.230 0.323
0.887 0.774 0.233

***

Entry 3:
LiSm2Zn3Ge4, relaxed, DFT PBE; final energy = -3.803 eV per atom; density of states at the Fermi level = 2.52 states/eV/cell; energy of formation = -0.439 eV/atom; crystal system = tetragonal
1.0
-2.399 -1.861 -3.035
-2.594 -1.593 3.027
-5.965 8.623 -0.573
Li Sm Zn Ge
1 2 3 4
direct
0.500 0.500 0.500
0.500 0.000 0.244
0.000 0.500 0.756
0.000 0.000 0.500
0.500 0.000 0.867
0.000 0.500 0.133
0.500 0.500 0.000
0.000 0.000 0.000
0.500 0.000 0.638
0.000 0.500 0.362